[1]
Density functional theory data (GGA-PBEsol) for crystalline Tc2SbCl at its relaxed geometry.

Properties
crystal system = orthorhombic
final energy = -29.45 eV per cell

```
Tc2SbCl
1.0
2.959 0.000 0.000
0.000 1.500 8.510
0.000 -1.500 8.510
Tc Sb Cl
2 1 1
Direct
0.000 0.000 0.000 Tc
0.500 0.410 0.410 Tc
0.000 0.796 0.796 Sb
0.500 0.108 0.108 Cl
```

[2]
Density functional theory data (GGA-PBEsol) for crystalline RbGe2Os at its relaxed geometry.

Properties
crystal system = cubic
final energy = -19.54 eV per cell

```
RbGe2Os
1.0
0.000 3.331 3.331
3.331 0.000 3.331
3.331 3.331 0.000
Rb Ge Os
1 2 1
Direct
0.000 0.000 0.000 Rb
0.250 0.250 0.250 Ge
0.750 0.750 0.750 Ge
0.500 0.500 0.500 Os
```

[3]
Density functional theory data (GGA-PBEsol) for crystalline ReOsCl2 at its relaxed geometry.

Properties
energy relative to the lowest polymorph listed for this composition = 0.000 eV/atom
crystal system = orthorhombic

```
ReOsCl2
1.0
-1.473 1.645 8.387
1.473 -1.645 8.387
1.473 1.645 -8.387
Re Os Cl
1 1 2
Direct
0.000 0.000 0.000 Re
0.595 0.095 0.500 Os
0.198 0.698 0.500 Cl
0.401 0.401 0.000 Cl
```